1.
! PBE Na2PO3F, relaxed; values from VASP
! - Symmetry: R-3m, No. 166
! - Formation energy from raw total energies: -2263 meV per atom
&SYSTEM
  ibrav = 0, nat = 14, ntyp = 4
/
ATOMIC_SPECIES
Na 22.99 Na.upf
O 16.00 O.upf
P 30.97 P.upf
F 19.00 F.upf
CELL_PARAMETERS angstrom
6.441 0.285 0.203
3.358 5.503 0.203
3.358 1.984 5.137
ATOMIC_POSITIONS crystal
Na 0.000 0.000 0.500
O 0.273 0.698 0.273
P 0.393 0.393 0.393
O 0.273 0.273 0.698
F 0.709 0.709 0.709
P 0.607 0.607 0.607
Na 0.500 0.000 0.000
Na 0.000 0.500 0.000
O 0.698 0.273 0.273
F 0.291 0.291 0.291
O 0.302 0.727 0.727
O 0.727 0.727 0.302
O 0.727 0.302 0.727
Na 0.000 0.000 0.000

2.
! PBE NaPOF2, relaxed; values from VASP
! - Symmetry: P4/mmm, No. 123
! - ΔE to the lowest computed polymorph: 0.000 eV/atom
! - Formation energy from raw total energies: -1665 meV per atom
&SYSTEM
  ibrav = 0, nat = 5, ntyp = 4
/
ATOMIC_SPECIES
O 16.00 O.upf
F 19.00 F.upf
P 30.97 P.upf
Na 22.99 Na.upf
CELL_PARAMETERS angstrom
-0.104 0.399 4.283
2.987 -3.077 0.359
2.568 2.473 -0.168
ATOMIC_POSITIONS crystal
O 0.000 0.000 0.500
F 0.500 0.000 0.000
P 0.000 0.000 0.000
Na 0.500 0.500 0.500
F 0.000 0.500 0.000

3.
! PBE NaPO3F, relaxed; values from VASP
! - Symmetry: C2/c, No. 15
! - Formation energy from raw total energies: -1747 meV per atom
&SYSTEM
  ibrav = 0, nat = 12, ntyp = 4
/
ATOMIC_SPECIES
P 30.97 P.upf
F 19.00 F.upf
O 16.00 O.upf
Na 22.99 Na.upf
CELL_PARAMETERS angstrom
-1.905 -0.360 -4.211
-0.376 -7.094 -2.964
-6.018 -4.369 1.226
ATOMIC_POSITIONS crystal
P 0.250 0.963 0.073
F 0.750 0.413 0.174
O 0.945 0.179 0.939
F 0.250 0.587 0.826
O 0.250 0.845 0.311
O 0.555 0.883 0.939
O 0.750 0.155 0.689
Na 0.750 0.588 0.823
P 0.750 0.037 0.927
O 0.445 0.117 0.061
O 0.055 0.821 0.061
Na 0.250 0.412 0.177

4.
! PBE NaPOF6, relaxed; values from VASP
! - Symmetry: P-1, No. 2
! - Formation energy from raw total energies: -2070 meV per atom
&SYSTEM
  ibrav = 0, nat = 18, ntyp = 4
/
ATOMIC_SPECIES
F 19.00 F.upf
Na 22.99 Na.upf
P 30.97 P.upf
O 16.00 O.upf
CELL_PARAMETERS angstrom
7.541 -0.145 0.117
-0.225 7.542 -0.131
-2.139 -5.211 5.030
ATOMIC_POSITIONS crystal
F 0.512 0.786 0.273
F 0.739 0.596 0.112
Na 0.500 0.500 0.500
F 0.990 0.262 0.274
F 0.484 0.594 0.856
F 0.516 0.406 0.144
F 0.016 0.873 0.111
F 0.239 0.126 0.141
F 0.761 0.874 0.859
F 0.261 0.404 0.888
F 0.010 0.738 0.726
P 0.000 0.000 0.000
Na 0.000 0.500 0.000
P 0.500 0.500 0.000
O 0.250 0.686 0.436
F 0.488 0.214 0.727
F 0.984 0.127 0.889
O 0.750 0.314 0.564

5.
! PBE NaP2OF, relaxed; values from VASP
! - Symmetry: P4/mmm, No. 123
! - ΔE to the lowest computed polymorph: 0.747 eV/atom
! - Formation energy from raw total energies: 1140 meV per atom
&SYSTEM
  ibrav = 0, nat = 5, ntyp = 4
/
ATOMIC_SPECIES
F 19.00 F.upf
O 16.00 O.upf
P 30.97 P.upf
Na 22.99 Na.upf
CELL_PARAMETERS angstrom
-4.319 -1.584 -1.545
-1.051 -1.514 4.489
-1.593 3.543 0.822
ATOMIC_POSITIONS crystal
F 0.500 0.500 0.500
O 0.000 0.000 0.500
P 0.500 0.000 0.000
Na 0.000 0.000 0.000
P 0.000 0.500 0.000

6.
! PBE NaP2OF, relaxed; values from VASP
! - Symmetry: P4/mmm, No. 123
! - ΔE to the lowest computed polymorph: 0.000 eV/atom
! - Formation energy from raw total energies: 392 meV per atom
&SYSTEM
  ibrav = 0, nat = 5, ntyp = 4
/
ATOMIC_SPECIES
P 30.97 P.upf
O 16.00 O.upf
F 19.00 F.upf
Na 22.99 Na.upf
CELL_PARAMETERS angstrom
4.068 0.000 0.000
0.000 4.068 0.000
0.000 0.000 4.997
ATOMIC_POSITIONS crystal
P 0.500 0.000 0.000
O 0.000 0.000 0.500
F 0.000 0.000 0.000
Na 0.500 0.500 0.500
P 0.000 0.500 0.000

7.
! PBE Na2POF5, relaxed; values from VASP
! - Symmetry: I4mm, No. 107
! - Formation energy from raw total energies: -2519 meV per atom
&SYSTEM
  ibrav = 0, nat = 9, ntyp = 4
/
ATOMIC_SPECIES
F 19.00 F.upf
O 16.00 O.upf
Na 22.99 Na.upf
P 30.97 P.upf
CELL_PARAMETERS angstrom
5.512 -0.307 -0.445
-2.887 4.705 0.445
-2.887 -1.260 4.555
ATOMIC_POSITIONS crystal
F 0.540 0.781 0.781
O 0.000 0.801 0.801
F 0.000 0.781 0.241
Na 0.500 0.235 0.735
Na 0.500 0.735 0.235
P 0.000 0.985 0.985
F 0.460 0.241 0.241
F 0.000 0.241 0.781
F 0.000 0.201 0.201

| no. | DFT total energy (eV per atom) | total moment (μB per atom) |
| --- | --- | --- |
| 1 | -5.81 | 0.000 |
| 2 | -4.75 | 0.000 |
| 3 | -5.66 | 0.168 |
| 4 | -4.62 | 0.223 |
| 5 | -2.65 | 0.000 |
| 6 | -3.40 | 0.176 |
| 7 | -5.00 | 0.006 |